Record 1
Here is crystalline Ni4Mo3Rh2 at its relaxed geometry from Alexandria. Energies are from GGA-PBE.

Its crystal system is triclinic. As for the energy relative to the elements: -13 meV per atom. For the density of states at the Fermi level, the calculation gives 10.55 states/eV/f.u. As for the calculated volume: 120.1 Å³/f.u.

It has space group P-1 (No. 2), with a = 5.346 Å, b = 6.978 Å, c = 7.182 Å, α = 76.48°, β = 89.02° and γ = 67.62°. The distinct sites, in fractional coordinates, are Ni at (0.014, 0.480, 0.176), Ni at (0.067, 0.836, 0.623), Ni at (0.107, 0.811, 0.972), Ni at (0.425, 0.162, 0.382), Mo at (0.161, 0.149, 0.709), Mo at (0.374, 0.193, 0.029), Mo at (0.484, 0.520, 0.809), Rh at (0.246, 0.497, 0.502) and Rh at (0.323, 0.862, 0.280).

***

Record 2
Here is crystalline NbB3Mo at its relaxed geometry from Alexandria. Energies are from GGA-PBE.

Its crystal system is cubic. As for the energy relative to the elements: 1632 meV per atom. For the energy relative to the lowest polymorph listed for this composition, the calculation gives 218.6 kJ per mole of atoms. For the density of states at the Fermi level, the calculation gives 6.35 states/eV/f.u. As for the calculated volume: 66.9 Å³/f.u.

It has space group Pm-3m (No. 221), with a = 4.060 Å, b = 4.060 Å, c = 4.060 Å, α = 90.00°, β = 90.00° and γ = 90.00°. The distinct sites, in fractional coordinates, are Nb at (0.000, 0.000, 0.000), B at (0.000, 0.000, 0.500) and Mo at (0.500, 0.500, 0.500).

***

Record 3
Here is crystalline KNa9In2 at its relaxed geometry from Alexandria. Energies are from GGA-PBE.

Its crystal system is tetragonal. As for the energy relative to the elements: -25 meV per atom. For the density of states at the Fermi level, the calculation gives 6.36 states/eV/f.u. As for the calculated volume: 437.5 Å³/f.u.

It has space group I4_1/amd (No. 141, origin choice 2), with a = 13.964 Å, b = 13.964 Å, c = 8.975 Å, α = 90.00°, β = 90.00° and γ = 90.00°. The distinct sites, in fractional coordinates, are K at (0.000, 0.250, 0.375), Na at (0.000, 0.250, 0.875), Na at (0.122, 0.053, 0.692) and In at (0.000, 0.000, 0.000).

***

Record 4
Here is crystalline TbCePrMg at its relaxed geometry from Alexandria. Energies are from GGA-PBE.

Its crystal system is cubic. As for the energy relative to the elements: 142 meV per atom. For the density of states at the Fermi level, the calculation gives 9.01 states/eV/f.u. As for the calculated volume: 122.1 Å³/f.u.

It has space group F-43m (No. 216), with a = 7.875 Å, b = 7.875 Å, c = 7.875 Å, α = 90.00°, β = 90.00° and γ = 90.00°. The distinct sites, in fractional coordinates, are Tb at (0.000, 0.000, 0.000), Ce at (0.250, 0.250, 0.750), Pr at (0.000, 0.000, 0.500) and Mg at (0.250, 0.250, 0.250).

***

Record 5
Here is crystalline K3NaN at its relaxed geometry from Alexandria. Energies are from GGA-PBE.

Its crystal system is cubic. The calculation puts the formation energy without anion corrections at 0.42 eV/atom. For the energy relative to the lowest polymorph listed for this composition, the calculation gives 0.0 kJ per mole of atoms. For the density of states at the Fermi level, the calculation gives 5.44 states/eV/f.u. As for the calculated volume: 192.7 Å³/f.u.

It has space group Pm-3m (No. 221), with a = 5.776 Å, b = 5.776 Å, c = 5.776 Å, α = 90.00°, β = 90.00° and γ = 90.00°. The distinct sites, in fractional coordinates, are K at (0.000, 0.000, 0.500), Na at (0.500, 0.500, 0.500) and N at (0.000, 0.000, 0.000).

***

Record 6
Here is crystalline BaGa6H2 at its relaxed geometry from Alexandria. Energies are from GGA-PBE.

Its crystal system is hexagonal. For the electronic total energy, the calculation gives -2.5727 eV/atom. For the density of states at the Fermi level, the calculation gives 2.60 states/eV/f.u. As for the calculated volume: 184.7 Å³/f.u.

It has space group P6/mmm (No. 191), with a = 8.2686 Å, b = 8.2686 Å, c = 3.1193 Å, α = 90.00°, β = 90.00° and γ = 120.00°. The distinct sites, in fractional coordinates, are Ba at (0.0000, 0.0000, 0.0000), Ga at (0.0000, 0.3532, 0.5000) and H at (0.3333, 0.6667, 0.0000).